Entry from Alexandria: an optimized crystal structure of Rb2Li2PrI6 (PBE-GGA).

Structure (POSCAR):
```
Rb2Li2PrI6
1.0
8.822 0.000 0.000
-4.411 7.150 0.239
0.000 -3.853 7.930
I Li Pr Rb
6 2 1 2
Direct
0.689 0.877 0.205
0.744 0.487 0.603
0.311 0.123 0.795
0.188 0.877 0.205
0.812 0.123 0.795
0.256 0.513 0.397
0.055 0.111 0.266
0.945 0.889 0.734
0.500 0.000 0.500
0.299 0.598 0.831
0.701 0.402 0.169
```

Density, g/cm³: 3.6
Final energy, eV per atom: -3.035
Formation energy from raw total energies, eV/atom: -1.231
M_tot, μB per cell: 1.03